i:
This record from the Alexandria database describes a geometry-optimized SmEuBi2 structure. The functional is PBE.

Output
The density comes out at 9.521 g/cm³.

a = 3.507 Å, b = 5.985 Å, c = 5.985 Å
α = 90.00°, β = 90.00°, γ = 90.00°
Element x y z (fractional)
1 Bi 0.000 0.000 0.500
2 Bi 0.000 0.500 0.000
3 Sm 0.500 0.000 0.000
4 Eu 0.500 0.500 0.500

=====

ii:
This record from the Alexandria database describes a geometry-optimized SmEuBi2 structure. The functional is PBE.

Output
The density comes out at 9.355 g/cm³.

a = 5.655 Å, b = 5.655 Å, c = 5.655 Å
α = 60.00°, β = 60.00°, γ = 60.00°
Element x y z (fractional)
1 Sm 0.500 0.500 0.500
2 Bi 0.250 0.250 0.250
3 Bi 0.750 0.750 0.750
4 Eu 0.000 0.000 0.000

=====

iii:
This record from the Alexandria database describes a geometry-optimized SmEuBi2 structure. The functional is PBE.

Output
The density comes out at 8.559 g/cm³.

a = 4.576 Å, b = 4.576 Å, c = 8.147 Å
α = 73.69°, β = 73.69°, γ = 60.00°
Element x y z (fractional)
1 Eu 0.500 0.500 0.500
2 Bi 0.253 0.253 0.242
3 Bi 0.747 0.747 0.758
4 Sm 0.000 0.000 0.000

=====

Which is most stable? The ranking, best first, is iii, i, ii.